No. 1
FeW2 | meta-GGA SCAN | single point on PBEsol structure

a b c (Å): 4.3610 4.3610 2.6125
angles (deg): 90.00 90.00 120.00
Closest atoms and distances in Å follow each position.
Element x y z (fractional)
1 Fe 0.0000 0.0000 0.0000  2 Fe 2.61, 6 W 2.66
2 W 0.3333 0.6667 0.3251  5 W 2.61-2.68, 3 Fe 2.66
3 W 0.6667 0.3333 0.6749  5 W 2.61-2.68, 3 Fe 2.66

* VASP energy: -157.041 eV per formula unit
* E above lowest polymorph: 0 meV/atom
* energy of formation from the pure elements: 0.155 eV/atom
* calculated density: 16.34 g cm⁻³


No. 2
FeW2 | meta-GGA SCAN | single point on PBEsol structure

a b c (Å): 4.8092 4.8092 4.8092
angles (deg): 104.38 104.38 120.21
Closest atoms and distances in Å follow each position.
Element x y z (fractional)
1 Fe 0.2500 0.2500 0.0000  2 Fe 2.40, 8 W 2.52
2 Fe 0.7500 0.7500 0.0000  2 Fe 2.40, 8 W 2.52
3 W 0.1601 0.6602 0.8203  4 Fe 2.52, 1 W 2.67
4 W 0.3398 0.1601 0.5000  4 Fe 2.52, 1 W 2.67
5 W 0.6602 0.8398 0.5000  4 Fe 2.52, 1 W 2.67
6 W 0.8398 0.3398 0.1797  4 Fe 2.52, 1 W 2.67

* VASP energy: -156.944 eV per formula unit
* E above lowest polymorph: 32 meV/atom
* energy of formation from the pure elements: 0.187 eV/atom
* calculated density: 16.88 g cm⁻³


No. 3
Fe3W | meta-GGA SCAN | single point on PBEsol structure

a b c (Å): 4.7306 4.7306 4.7306
angles (deg): 143.23 130.06 63.60
Closest atoms and distances in Å follow each position.
Element x y z (fractional)
1 Fe 0.0000 0.0000 0.0000  4 Fe 2.48, 4 W 2.49
2 Fe 0.2468 0.7468 0.5000  6 Fe 2.48-2.49, 2 W 2.52
3 Fe 0.7532 0.2532 0.5000  6 Fe 2.48-2.49, 2 W 2.52
4 W 0.5000 0.5000 0.0000  8 Fe 2.49-2.52

* VASP energy: -123.870 eV per formula unit
* energy of formation from the pure elements: 0.052 eV/atom
* calculated density: 12.18 g cm⁻³


No. 4
Fe3W | meta-GGA SCAN | single point on PBEsol structure

a b c (Å): 3.5670 3.5670 3.5670
angles (deg): 90.00 90.00 90.00
Closest atoms and distances in Å follow each position.
Element x y z (fractional)
1 Fe 0.0000 0.0000 0.5000  4 W 2.52, 8 Fe 2.52
2 Fe 0.0000 0.5000 0.0000  4 W 2.52, 8 Fe 2.52
3 Fe 0.5000 0.0000 0.0000  4 W 2.52, 8 Fe 2.52
4 W 0.5000 0.5000 0.5000  12 Fe 2.52

* VASP energy: -123.194 eV per formula unit
* energy of formation from the pure elements: 0.221 eV/atom
* calculated density: 12.86 g cm⁻³


No. 5
Fe3W | meta-GGA SCAN | single point on PBEsol structure

a b c (Å): 5.0570 5.0570 4.0711
angles (deg): 90.00 90.00 120.00
Closest atoms and distances in Å follow each position.
Element x y z (fractional)
1 Fe 0.1607 0.3213 0.2500  8 Fe 2.44-2.62, 4 W 2.53-2.54
2 Fe 0.1607 0.8393 0.2500  8 Fe 2.44-2.62, 4 W 2.53-2.54
3 Fe 0.3213 0.1607 0.7500  8 Fe 2.44-2.62, 4 W 2.53-2.54
4 Fe 0.6787 0.8393 0.2500  8 Fe 2.44-2.62, 4 W 2.53-2.54
5 Fe 0.8393 0.1607 0.7500  8 Fe 2.44-2.62, 4 W 2.53-2.54
6 Fe 0.8393 0.6787 0.7500  8 Fe 2.44-2.62, 4 W 2.53-2.54
7 W 0.3333 0.6667 0.7500  12 Fe 2.53-2.54
8 W 0.6667 0.3333 0.2500  12 Fe 2.53-2.54

* VASP energy: -122.831 eV per formula unit
* energy of formation from the pure elements: 0.312 eV/atom
* calculated density: 12.94 g cm⁻³


No. 6
Fe3W | meta-GGA SCAN | single point on PBEsol structure

a b c (Å): 4.4668 4.4668 4.4668
angles (deg): 90.00 90.00 90.00
Closest atoms and distances in Å follow each position.
Element x y z (fractional)
1 Fe 0.0000 0.0000 0.5000  2 W 2.23
2 Fe 0.0000 0.5000 0.0000  2 W 2.23
3 Fe 0.5000 0.0000 0.0000  2 W 2.23
4 W 0.0000 0.0000 0.0000  6 Fe 2.23

* VASP energy: -114.680 eV per formula unit
* energy of formation from the pure elements: 2.349 eV/atom
* calculated density: 6.55 g cm⁻³


No. 7
Fe3W | meta-GGA SCAN | single point on PBEsol structure

a b c (Å): 2.8819 2.8819 5.7890
angles (deg): 90.00 90.00 90.00
Closest atoms and distances in Å follow each position.
Element x y z (fractional)
1 Fe 0.0000 0.0000 0.0000  8 Fe 2.45
2 Fe 0.5000 0.5000 0.2343  5 Fe 2.45-2.71, 4 W 2.55
3 Fe 0.5000 0.5000 0.7657  5 Fe 2.45-2.71, 4 W 2.55
4 W 0.0000 0.0000 0.5000  8 Fe 2.55

* VASP energy: -123.914 eV per formula unit
* energy of formation from the pure elements: 0.041 eV/atom
* calculated density: 12.14 g cm⁻³


No. 8
Fe2W3 | meta-GGA SCAN | single point on PBEsol structure

a b c (Å): 10.9091 10.9091 10.9091
angles (deg): 14.32 14.32 14.32
Closest atoms and distances in Å follow each position.
Element x y z (fractional)
1 Fe 0.1019 0.1019 0.1019  6 W 2.60-2.62, 6 Fe 2.72
2 Fe 0.8981 0.8981 0.8981  6 W 2.60-2.62, 6 Fe 2.72
3 W 0.2954 0.2954 0.2954  3 Fe 2.60, 6 W 2.72
4 W 0.5000 0.5000 0.5000  6 Fe 2.62, 6 W 2.72
5 W 0.7046 0.7046 0.7046  3 Fe 2.60, 6 W 2.72

* VASP energy: -243.181 eV per formula unit
* energy of formation from the pure elements: 0.428 eV/atom
* calculated density: 15.93 g cm⁻³


No. 9
Fe3W | meta-GGA SCAN | single point on PBEsol structure

a b c (Å): 8.1798 8.1798 8.1798
angles (deg): 18.81 18.81 18.81
Closest atoms and distances in Å follow each position.
Element x y z (fractional)
1 Fe 0.0000 0.0000 0.0000  12 Fe 2.44-2.67
2 Fe 0.2549 0.2549 0.2549  9 Fe 2.44-2.67, 3 W 2.63
3 Fe 0.7451 0.7451 0.7451  9 Fe 2.44-2.67, 3 W 2.63
4 W 0.5000 0.5000 0.5000  6 Fe 2.63, 6 W 2.67

* VASP energy: -123.083 eV per formula unit
* energy of formation from the pure elements: 0.248 eV/atom
* calculated density: 11.74 g cm⁻³


No. 10
Fe5W | meta-GGA SCAN | single point on PBEsol structure

a b c (Å): 2.8665 2.8665 8.5278
angles (deg): 90.00 90.00 90.00
Closest atoms and distances in Å follow each position.
Element x y z (fractional)
1 Fe 0.0000 0.0000 0.0000  10 Fe 2.45-2.72
2 Fe 0.0000 0.0000 0.3195  5 Fe 2.44-2.72, 4 W 2.55
3 Fe 0.0000 0.0000 0.6805  5 Fe 2.44-2.72, 4 W 2.55
4 Fe 0.5000 0.5000 0.1605  8 Fe 2.44-2.45
5 Fe 0.5000 0.5000 0.8395  8 Fe 2.44-2.45
6 W 0.5000 0.5000 0.5000  8 Fe 2.55

* VASP energy: -160.213 eV per formula unit
* energy of formation from the pure elements: 0.020 eV/atom
* calculated density: 10.97 g cm⁻³


No. 11
Fe3W | meta-GGA SCAN | single point on PBEsol structure

a b c (Å): 4.5946 4.5946 4.5946
angles (deg): 90.00 90.00 90.00
Closest atoms and distances in Å follow each position.
Element x y z (fractional)
1 Fe 0.0000 0.2500 0.5000  2 Fe 2.30, 4 W 2.57
2 Fe 0.0000 0.7500 0.5000  2 Fe 2.30, 4 W 2.57
3 Fe 0.2500 0.5000 0.0000  2 Fe 2.30, 4 W 2.57
4 Fe 0.5000 0.0000 0.2500  2 Fe 2.30, 4 W 2.57
5 Fe 0.5000 0.0000 0.7500  2 Fe 2.30, 4 W 2.57
6 Fe 0.7500 0.5000 0.0000  2 Fe 2.30, 4 W 2.57
7 W 0.0000 0.0000 0.0000  12 Fe 2.57
8 W 0.5000 0.5000 0.5000  12 Fe 2.57

* VASP energy: -123.825 eV per formula unit
* energy of formation from the pure elements: 0.063 eV/atom
* calculated density: 12.03 g cm⁻³


No. 12
YFeW3 | meta-GGA SCAN | single point on PBEsol structure

a b c (Å): 4.6920 4.6920 4.6920
angles (deg): 90.00 90.00 90.00
Closest atoms and distances in Å follow each position.
Element x y z (fractional)
1 Y 0.0000 0.0000 0.0000  6 W 2.35
2 Fe 0.5000 0.5000 0.5000  12 W 3.32
3 W 0.0000 0.0000 0.5000  2 Y 2.35
4 W 0.0000 0.5000 0.0000  2 Y 2.35
5 W 0.5000 0.0000 0.0000  2 Y 2.35

* VASP energy: -237.874 eV per formula unit
* energy of formation from the pure elements: 3.432 eV/atom
* calculated density: 11.19 g cm⁻³


No. 13
YFeW2 | meta-GGA SCAN | single point on PBEsol structure

a b c (Å): 2.8129 2.8129 8.2676
angles (deg): 90.00 90.00 90.00
Closest atoms and distances in Å follow each position.
Element x y z (fractional)
1 Y 0.0000 0.0000 0.0000  4 Y 2.81
2 Fe 0.0000 0.0000 0.5000  8 W 2.58, 4 Fe 2.81
3 W 0.5000 0.5000 0.3018  4 Fe 2.58, 4 W 2.81
4 W 0.5000 0.5000 0.6982  4 Fe 2.58, 4 W 2.81

* VASP energy: -182.922 eV per formula unit
* E above lowest polymorph: 0 meV/atom
* energy of formation from the pure elements: 0.607 eV/atom
* calculated density: 13.01 g cm⁻³


No. 14
Y2FeW2 | meta-GGA SCAN | single point on PBEsol structure

a b c (Å): 8.9397 8.9397 8.9397
angles (deg): 157.01 157.01 32.74
Closest atoms and distances in Å follow each position.
Element x y z (fractional)
1 Y 0.0973 0.0973 0.0000  4 Fe 3.02, 4 W 3.17, 1 Y 3.34
2 Y 0.9027 0.9027 0.0000  4 Fe 3.02, 4 W 3.17, 1 Y 3.34
3 Fe 0.5000 0.5000 0.0000  8 Y 3.02
4 W 0.2500 0.7500 0.5000  4 W 2.52
5 W 0.7500 0.2500 0.5000  4 W 2.52

* VASP energy: -209.758 eV per formula unit
* energy of formation from the pure elements: 0.687 eV/atom
* calculated density: 9.17 g cm⁻³


No. 15
YFeW2 | meta-GGA SCAN | single point on PBEsol structure

a b c (Å): 4.4890 4.4890 3.2101
angles (deg): 90.00 90.00 90.00
Closest atoms and distances in Å follow each position.
Element x y z (fractional)
1 Y 0.0000 0.0000 0.0000  8 W 2.76
2 Fe 0.5000 0.5000 0.0000  8 W 2.76
3 W 0.0000 0.5000 0.5000  4 Fe 2.76, 4 Y 2.76
4 W 0.5000 0.0000 0.5000  4 Fe 2.76, 4 Y 2.76

* VASP energy: -181.468 eV per formula unit
* E above lowest polymorph: 363 meV/atom
* energy of formation from the pure elements: 0.970 eV/atom
* calculated density: 13.15 g cm⁻³


No. 16
ZnFeW2 | meta-GGA SCAN | single point on PBEsol structure

a b c (Å): 3.2064 3.2064 5.4114
angles (deg): 90.00 90.00 90.00
Closest atoms and distances in Å follow each position.
Element x y z (fractional)
1 Zn 0.0000 0.0000 0.0000  8 W 2.69, 2 Fe 2.71
2 Fe 0.0000 0.0000 0.5000  8 W 2.59, 2 Zn 2.71
3 W 0.5000 0.5000 0.2682  1 W 2.51, 4 Fe 2.59, 4 Zn 2.69
4 W 0.5000 0.5000 0.7318  1 W 2.51, 4 Fe 2.59, 4 Zn 2.69

* VASP energy: -169.768 eV per formula unit
* energy of formation from the pure elements: 0.313 eV/atom
* calculated density: 14.59 g cm⁻³


No. 17
ZnFe2W | meta-GGA SCAN | single point on PBEsol structure

a b c (Å): 4.1446 4.1446 4.1446
angles (deg): 60.00 60.00 60.00
Closest atoms and distances in Å follow each position.
Element x y z (fractional)
1 Zn 0.0000 0.0000 0.0000  4 Fe 2.54, 4 W 2.54
2 Fe 0.5000 0.5000 0.5000  4 Fe 2.54, 4 W 2.54
3 Fe 0.7500 0.7500 0.7500  4 Fe 2.54, 4 Zn 2.54
4 W 0.2500 0.2500 0.2500  4 Fe 2.54, 4 Zn 2.54

* VASP energy: -118.644 eV per formula unit
* energy of formation from the pure elements: 0.205 eV/atom
* calculated density: 11.91 g cm⁻³


No. 18
Zn2FeW | meta-GGA SCAN | single point on PBEsol structure

a b c (Å): 2.5857 4.2525 4.9112
angles (deg): 90.00 101.31 90.00
Closest atoms and distances in Å follow each position.
Element x y z (fractional)
1 Zn 0.1745 0.0000 0.2613  2 Fe 2.51, 5 Zn 2.55-2.67, 2 W 2.70
2 Zn 0.8255 0.0000 0.7387  2 Fe 2.51, 5 Zn 2.55-2.67, 2 W 2.70
3 Fe 0.0000 0.5000 0.5000  4 Zn 2.51, 2 W 2.54, 2 Fe 2.59
4 W 0.5000 0.5000 0.0000  2 Fe 2.54, 2 W 2.59, 4 Zn 2.70

* VASP energy: -113.995 eV per formula unit
* energy of formation from the pure elements: 0.213 eV/atom
* calculated density: 11.62 g cm⁻³


No. 19
ZnFe3W | meta-GGA SCAN | single point on PBEsol structure

a b c (Å): 4.4012 4.4012 4.4012
angles (deg): 90.00 90.00 90.00
Closest atoms and distances in Å follow each position.
Element x y z (fractional)
1 Zn 0.0000 0.0000 0.0000  12 Fe 3.11
2 Fe 0.0000 0.5000 0.5000  2 W 2.20
3 Fe 0.5000 0.0000 0.5000  2 W 2.20
4 Fe 0.5000 0.5000 0.0000  2 W 2.20
5 W 0.5000 0.5000 0.5000  6 Fe 2.20

* VASP energy: -129.075 eV per formula unit
* energy of formation from the pure elements: 1.703 eV/atom
* calculated density: 8.12 g cm⁻³


No. 20
ZnFe2W | meta-GGA SCAN | single point on PBEsol structure

a b c (Å): 4.7524 4.7524 4.7524
angles (deg): 141.91 131.93 62.92
Closest atoms and distances in Å follow each position.
Element x y z (fractional)
1 Zn 0.0000 0.0000 0.0000  6 Fe 2.48-2.53, 4 W 2.64-2.72
2 Fe 0.5054 0.5054 0.0000  4 Zn 2.48, 2 W 2.50, 2 Fe 2.54
3 Fe 0.7531 0.2531 0.5000  4 W 2.48, 2 Zn 2.53, 2 Fe 2.54
4 W 0.2637 0.7637 0.5000  6 Fe 2.48-2.50, 4 Zn 2.64-2.72

* VASP energy: -118.480 eV per formula unit
* energy of formation from the pure elements: 0.246 eV/atom
* calculated density: 12.31 g cm⁻³